Below is an optimized crystal structure of P2C3, with properties calculated at the PBE level.

abc: 5.830 2.428 9.864
angles: 90.00 113.84 90.00
Fractional positions:
C 0.356 0.000 0.752
C 0.430 0.500 0.413
C 0.356 0.500 0.252
C 0.430 0.000 0.913
C 0.314 0.500 0.674
C 0.314 0.000 0.174
P 0.749 0.000 0.051
P 0.160 0.000 0.971
P 0.749 0.500 0.551
P 0.160 0.500 0.471

Energy of formation, eV per atom: 0.60
Fermi-level density of states, states/eV/f.u.: 0.80
Offset from the most stable computed form, kJ/mol of formula units: 68.9



Below is an optimized crystal structure of PC2, with properties calculated at the PBE level.

abc: 5.701 5.701 7.250
angles: 65.53 65.53 25.26
Fractional positions:
P 0.404 0.404 0.637
P 0.596 0.596 0.363
C 0.463 0.463 0.836
C 0.537 0.537 0.164
C 0.981 0.981 0.916
C 0.019 0.019 0.084

Energy of formation, eV per atom: 0.23
Fermi-level density of states, states/eV/f.u.: 0.14
Offset from the most stable computed form, kJ/mol of formula units: 0.0



Below is an optimized crystal structure of P5C7, with properties calculated at the PBE level.

abc: 5.695 5.695 5.695
angles: 98.55 98.55 134.63
Fractional positions:
C 0.356 0.856 0.500
C 0.856 0.356 0.500
C 0.608 0.965 0.357
C 0.608 0.251 0.643
C 0.251 0.608 0.643
C 0.965 0.608 0.357
C 0.529 0.529 0.000
P 0.403 0.403 0.602
P 0.800 0.800 0.398
P 0.122 0.122 0.000
P 0.800 0.403 0.000
P 0.403 0.800 0.000

Energy of formation, eV per atom: 0.87
Fermi-level density of states, states/eV/f.u.: 5.70



Below is an optimized crystal structure of PC2, with properties calculated at the PBE level.

abc: 4.157 4.157 8.541
angles: 90.03 90.03 36.35
Fractional positions:
P 0.808 0.808 0.184
P 0.769 0.769 0.653
C 0.442 0.442 0.255
C 0.561 0.561 0.738
C 0.978 0.978 0.738
C 0.608 0.608 0.265

Energy of formation, eV per atom: 0.85
Fermi-level density of states, states/eV/f.u.: 0.76
Offset from the most stable computed form, kJ/mol of formula units: 179.3



Below is an optimized crystal structure of PC2, with properties calculated at the PBE level.

abc: 7.772 2.717 11.330
angles: 90.00 122.30 90.00
Fractional positions:
C 0.052 0.000 0.764
C 0.948 0.000 0.236
C 0.736 0.000 0.178
C 0.052 0.500 0.264
C 0.264 0.500 0.322
C 0.264 0.000 0.822
C 0.948 0.500 0.736
C 0.736 0.500 0.678
P 0.572 0.000 0.634
P 0.572 0.500 0.134
P 0.428 0.000 0.366
P 0.428 0.500 0.866

Energy of formation, eV per atom: 0.42
Fermi-level density of states, states/eV/f.u.: 0.09
Offset from the most stable computed form, kJ/mol of formula units: 55.4



Below is an optimized crystal structure of PC2, with properties calculated at the PBE level.

abc: 6.509 6.509 2.490
angles: 90.00 90.00 120.00
Fractional positions:
C 0.000 0.617 0.000
C 0.617 0.000 0.000
C 0.000 0.730 0.500
C 0.270 0.270 0.500
C 0.730 0.000 0.500
C 0.383 0.383 0.000
P 0.000 0.000 0.500
P 0.333 0.667 0.000
P 0.667 0.333 0.000

Energy of formation, eV per atom: 0.77
Fermi-level density of states, states/eV/f.u.: 0.92
Offset from the most stable computed form, kJ/mol of formula units: 155.0



Below is an optimized crystal structure of PC3, with properties calculated at the PBE level.

abc: 3.496 2.430 9.399
angles: 90.00 90.00 90.00
Fractional positions:
P 0.000 0.000 0.890
P 0.500 0.500 0.390
C 0.000 0.500 0.466
C 0.500 0.000 0.124
C 0.500 0.500 0.198
C 0.000 0.500 0.624
C 0.000 0.000 0.698
C 0.500 0.000 0.966

Energy of formation, eV per atom: 0.73
Fermi-level density of states, states/eV/f.u.: 0.65
Offset from the most stable computed form, kJ/mol of formula units: 31.7



Below is an optimized crystal structure of P2C3, with properties calculated at the PBE level.

abc: 9.625 3.596 3.545
angles: 90.00 90.00 90.00
Fractional positions:
C 0.000 0.500 0.511
C 0.500 0.000 0.011
C 0.000 0.795 0.827
C 0.500 0.295 0.327
C 0.500 0.705 0.327
C 0.000 0.205 0.827
P 0.131 0.500 0.109
P 0.369 0.000 0.609
P 0.631 0.000 0.609
P 0.869 0.500 0.109

Energy of formation, eV per atom: 0.69
Fermi-level density of states, states/eV/f.u.: 0.44
Offset from the most stable computed form, kJ/mol of formula units: 116.0



Below is an optimized crystal structure of P2C3, with properties calculated at the PBE level.

abc: 3.758 3.986 4.092
angles: 78.02 71.33 85.80
Fractional positions:
C 0.892 0.876 0.228
C 0.267 0.729 0.221
C 0.532 0.742 0.407
P 0.429 0.505 0.860
P 0.963 0.199 0.824

Energy of formation, eV per atom: 0.69
Fermi-level density of states, states/eV/f.u.: 0.47
Offset from the most stable computed form, kJ/mol of formula units: 114.4



Below is an optimized crystal structure of PC3, with properties calculated at the PBE level.

abc: 3.268 3.268 4.404
angles: 90.00 90.00 120.00
Fractional positions:
C 0.000 0.000 0.090
C 0.667 0.333 0.250
C 0.000 0.000 0.410
P 0.667 0.333 0.750

Energy of formation, eV per atom: 2.79
Fermi-level density of states, states/eV/f.u.: 1.73
Offset from the most stable computed form, kJ/mol of formula units: 827.1



Below is an optimized crystal structure of PC2, with properties calculated at the PBE level.

abc: 3.084 3.084 2.788
angles: 90.00 90.00 90.00
Fractional positions:
C 0.500 0.000 0.500
C 0.000 0.500 0.500
P 0.000 0.000 0.000

Energy of formation, eV per atom: 2.49
Fermi-level density of states, states/eV/f.u.: 0.60
Offset from the most stable computed form, kJ/mol of formula units: 653.1



Below is an optimized crystal structure of PC2, with properties calculated at the PBE level.

abc: 4.612 4.612 4.612
angles: 149.84 149.84 43.17
Fractional positions:
C 0.226 0.226 0.000
C 0.774 0.774 0.000
P 0.000 0.000 0.000

Energy of formation, eV per atom: 1.63
Fermi-level density of states, states/eV/f.u.: 1.07
Offset from the most stable computed form, kJ/mol of formula units: 404.4



Below is an optimized crystal structure of P3C4, with properties calculated at the PBE level.

abc: 3.951 3.951 3.951
angles: 90.00 90.00 90.00
Site moments in Bohr magnetons follow the coordinates.
Fractional positions:
P 0.500 0.000 0.000  0.00
P 0.000 0.000 0.500  0.00
P 0.000 0.500 0.000  0.00
C 0.500 0.000 0.500  0.09
C 0.000 0.000 0.000  0.01
C 0.000 0.500 0.500  0.09
C 0.500 0.500 0.000  0.09

Energy of formation, eV per atom: 1.51
Fermi-level density of states, states/eV/f.u.: 2.86
Offset from the most stable computed form, kJ/mol of formula units: 467.9